Entry 1:
An optimized crystal structure of RbLa3Au. Source: Alexandria, functional PBE-GGA.

Cell: 5.624 5.624 5.624 Å, 90.00 90.00 90.00°
Atoms (fractional coordinates):
La: 0.000 0.500 0.000
La: 0.500 0.000 0.000
Au: 0.500 0.500 0.500
Rb: 0.000 0.000 0.000
La: 0.000 0.000 0.500

calculated formation energy = 1.0773 eV per atom



Entry 2:
An optimized crystal structure of RbLa3Au. Source: Alexandria, functional PBE-GGA.

Cell: 6.036 6.036 6.036 Å, 90.00 90.00 90.00°
Each line ends with the local moment (μB).
Atoms (fractional coordinates):
La: 0.500 0.000 0.000  0.23
Rb: 0.500 0.500 0.500  0.01
Au: 0.000 0.000 0.000  0.04
La: 0.000 0.000 0.500  0.12
La: 0.000 0.500 0.000  0.15

calculated formation energy = 0.0500 eV per atom



Calculated polymorph energy (0 for the lowest one) in order - 496; 0 kJ/mol of formula units
Calculated total energy in order - -13.6; -18.8 eV/cell